[1]
An optimized crystal structure of Cd2InHg. Source: Alexandria via LeMat-Bulk, functional PBE-GGA.

V: 98 Å³/cell
energy above the lowest structure with this stoichiometry: 7 meV/atom
raw total energy: -4.77 eV/cell
formation enthalpy at 0 K: 0.025 eV/atom
space group: C2/m, No. 12

Cell: 3.407 7.063 5.559 Å, 119.30 90.24 118.42°
Atoms (fractional coordinates):
Cd 0.500 0.500 0.500
Cd 0.000 0.000 0.500
In 0.000 0.500 0.000
Hg 0.500 0.000 0.000



[2]
An optimized crystal structure of K4Tm3HfS8. Source: Alexandria via LeMat-Bulk, functional PBE-GGA.

V: 393 Å³/cell
raw total energy: -89.00 eV/cell
uncorrected formation energy: -1.76 eV/atom
space group: R-3m, No. 166

Cell: 7.853 8.647 7.854 Å, 117.02 120.00 90.00°
Atoms (fractional coordinates):
S 0.255 0.302 0.028
S 0.266 0.298 0.532
S 0.734 0.702 0.468
S 0.774 0.302 0.547
S 0.745 0.698 0.972
S 0.226 0.698 0.972
S 0.774 0.302 0.028
S 0.226 0.698 0.453
Hf 0.000 0.500 0.000
K 0.500 0.000 0.500
K 0.000 0.000 0.000
K 0.000 0.000 0.500
K 0.500 0.000 0.000
Tm 0.000 0.500 0.500
Tm 0.500 0.500 0.500
Tm 0.500 0.500 0.000



[3]
An optimized crystal structure of Ac2PrEr. Source: Alexandria via LeMat-Bulk, functional PBE-GGA.

V: 159 Å³/cell
energy above the lowest structure with this stoichiometry: 207 meV/atom
raw total energy: -16.57 eV/cell
formation enthalpy at 0 K: 0.248 eV/atom
space group: R-3m, No. 166

Cell: 3.728 3.728 13.377 Å, 81.99 81.99 60.00°
Atoms (fractional coordinates):
Ac 0.087 0.087 0.738
Ac 0.913 0.913 0.262
Er 0.000 0.000 0.000
Pr 0.500 0.500 0.500



[4]
An optimized crystal structure of Ca2GaSb2. Source: Alexandria via LeMat-Bulk, functional PBE-GGA.

V: 296 Å³/cell
energy above the lowest structure with this stoichiometry: 0 meV/atom
raw total energy: -36.16 eV/cell
uncorrected formation energy: -0.56 eV/atom
space group: P4/mbm, No. 127

Cell: 9.136 9.136 3.552 Å, 90.00 90.00 90.00°
Atoms (fractional coordinates):
Sb 0.161 0.339 0.000
Sb 0.839 0.661 0.000
Sb 0.339 0.839 0.000
Sb 0.661 0.161 0.000
Ca 0.639 0.861 0.500
Ca 0.139 0.639 0.500
Ca 0.861 0.361 0.500
Ca 0.361 0.139 0.500
Ga 0.500 0.500 0.000
Ga 0.000 0.000 0.000



[5]
An optimized crystal structure of Er3Ag2Hg4. Source: Alexandria via LeMat-Bulk, functional PBE-GGA.

V: 208 Å³/cell
energy above the lowest structure with this stoichiometry: 0 meV/atom
raw total energy: -23.86 eV/cell
formation enthalpy at 0 K: -0.362 eV/atom
space group: C2/m, No. 12

Cell: 5.132 5.228 8.985 Å, 96.65 90.00 119.39°
Atoms (fractional coordinates):
Hg 0.954 0.908 0.657
Hg 0.679 0.357 0.078
Hg 0.046 0.092 0.343
Hg 0.321 0.643 0.922
Er 0.630 0.260 0.725
Er 0.370 0.740 0.275
Er 0.000 0.000 0.000
Ag 0.718 0.436 0.403
Ag 0.282 0.564 0.597